# HoScAl4 (GGA-PBE, optimized geometry)
data_HoScAl4
_chemical_formula_sum 'Ho1 Sc1 Al4'
_cell_length_a 5.456
_cell_length_b 5.456
_cell_length_c 5.456
_cell_angle_alpha 60.00
_cell_angle_beta 60.00
_cell_angle_gamma 60.00
_space_group_name_H-M_alt 'P 1'
_space_group_IT_number 1
_space_group_name_Hall 'P 1'
loop_
_atom_site_label
_atom_site_fract_x
_atom_site_fract_y
_atom_site_fract_z
_atom_site_occupancy
Al1 0.125 0.625 0.625 1
Al2 0.625 0.625 0.625 1
Sc1 0.000 0.000 0.000 1
Al3 0.625 0.625 0.125 1
Ho1 0.250 0.250 0.250 1
Al4 0.625 0.125 0.625 1
# Volume ... 19.140 Å³/atom
# Space-group type ... F-43m (216)
# ΔE_f ... -492 meV per atom
# Electronic total energy ... -4.805 eV/atom
# Crystal system ... cubic
# N(E_F) ... 5.2 states/eV/f.u.

=====

# AlTc (GGA-PBE, optimized geometry)
data_AlTc
_chemical_formula_sum 'Al2 Tc2'
_cell_length_a 3.820
_cell_length_b 3.820
_cell_length_c 5.247
_cell_angle_alpha 90.00
_cell_angle_beta 90.00
_cell_angle_gamma 120.00
_space_group_name_H-M_alt 'P 1'
_space_group_IT_number 1
_space_group_name_Hall 'P 1'
loop_
_atom_site_label
_atom_site_fract_x
_atom_site_fract_y
_atom_site_fract_z
_atom_site_occupancy
Al1 0.000 0.000 0.500 1
Tc1 0.333 0.667 0.250 1
Tc2 0.667 0.333 0.750 1
Al2 0.000 0.000 0.000 1
# Volume ... 16.580 Å³/atom
# Space-group type ... P6_3/mmc (194)
# ΔE_f ... 383 meV per atom
# Electronic total energy ... -6.672 eV/atom
# Crystal system ... hexagonal
# N(E_F) ... 1.6 states/eV/f.u.

=====

# RbHg2F (GGA-PBE, optimized geometry)
data_RbHg2F
_chemical_formula_sum 'Rb2 Hg4 F2'
_cell_length_a 10.921
_cell_length_b 10.921
_cell_length_c 8.150
_cell_angle_alpha 47.93
_cell_angle_beta 47.93
_cell_angle_gamma 90.00
_space_group_name_H-M_alt 'P 1'
_space_group_IT_number 1
_space_group_name_Hall 'P 1'
loop_
_atom_site_label
_atom_site_fract_x
_atom_site_fract_y
_atom_site_fract_z
_atom_site_occupancy
Rb1 0.000 0.000 0.000 1
Hg1 0.221 0.625 0.250 1
F1 0.500 0.500 0.000 1
F2 0.250 0.750 0.500 1
Hg2 0.529 0.125 0.250 1
Hg3 0.375 0.471 0.750 1
Rb2 0.750 0.250 0.500 1
Hg4 0.875 0.779 0.750 1
# Volume ... 38.832 Å³/atom
# Space-group type ... I-42d (122)
# Formation energy (no corrections) ... -1.09 eV per atom
# Electronic total energy ... -1.946 eV/atom
# Crystal system ... tetragonal
# N(E_F) ... 0.0 states/eV/f.u.